Entry from the Alexandria database: a PBEsol-optimized structure of BaMnTc (meta-GGA SCAN).

Output
- energy relative to the elements (eV/atom) = 1.3481
- ΔE to the lowest computed polymorph (eV/atom) = 0.0000
- crystal system = cubic

a b c (Å): 4.544 4.544 4.544
angles (deg): 60.00 60.00 60.00
Last column: magnetic moment on the atom in μB.
Element x y z (fractional)
Mn (0.250, 0.250, 0.250)  3.60
Ba (0.500, 0.500, 0.500)  -0.05
Tc (0.000, 0.000, 0.000)  -1.52

---

Entry from the Alexandria database: a PBEsol-optimized structure of LiHgIr2 (meta-GGA SCAN).

Output
- energy relative to the elements (eV/atom) = 0.2376
- crystal system = tetragonal

a b c (Å): 4.061 4.609 4.061
angles (deg): 63.86 90.00 116.14
Element x y z (fractional)
Li (0.500, 0.000, 0.500)
Ir (0.250, 0.500, 0.250)
Hg (0.750, 0.500, 0.750)
Ir (0.000, 0.000, 0.000)

---

Entry from the Alexandria database: a PBEsol-optimized structure of SrCr2Si (meta-GGA SCAN).

Output
- crystal system = cubic
- raw formation energy (eV/atom) = 0.26

a b c (Å): 4.724 4.724 4.724
angles (deg): 60.00 60.00 60.00
Last column: magnetic moment on the atom in μB.
Element x y z (fractional)
Si (0.500, 0.500, 0.500)  -0.03
Sr (0.250, 0.250, 0.250)  -0.07
Cr (0.000, 0.000, 0.000)  -3.85
Cr (0.750, 0.750, 0.750)  3.75

---

Entry from the Alexandria database: a PBEsol-optimized structure of K2CdP (meta-GGA SCAN).

Output
- energy relative to the elements (eV/atom) = -0.0154
- crystal system = cubic

a b c (Å): 5.449 5.449 5.449
angles (deg): 60.00 60.00 60.00
Element x y z (fractional)
K (0.750, 0.750, 0.750)
K (0.250, 0.250, 0.250)
Cd (0.000, 0.000, 0.000)
P (0.500, 0.500, 0.500)

---

Entry from the Alexandria database: a PBEsol-optimized structure of ZnSiPb3 (meta-GGA SCAN).

Output
- crystal system = cubic
- raw formation energy (eV/atom) = 0.70

a b c (Å): 5.342 5.342 5.342
angles (deg): 90.00 90.00 90.00
Element x y z (fractional)
Pb (0.000, 0.500, 0.000)
Zn (0.500, 0.500, 0.500)
Pb (0.000, 0.000, 0.500)
Si (0.000, 0.000, 0.000)
Pb (0.500, 0.000, 0.000)

---

Entry from the Alexandria database: a PBEsol-optimized structure of BiPdIO2 (meta-GGA SCAN).

Output
- crystal system = tetragonal
- raw formation energy (eV/atom) = 0.25

a b c (Å): 4.269 4.269 4.980
angles (deg): 90.00 90.00 90.00
Element x y z (fractional)
O (0.500, 0.000, 0.000)
Pd (0.000, 0.000, 0.000)
Bi (0.500, 0.500, 0.500)
I (0.000, 0.000, 0.500)
O (0.000, 0.500, 0.000)

---

Entry from the Alexandria database: a PBEsol-optimized structure of BiSbS2N (meta-GGA SCAN).

Output
- crystal system = tetragonal
- raw formation energy (eV/atom) = 1.08

a b c (Å): 4.124 5.189 5.189
angles (deg): 90.00 90.00 90.00
Last column: magnetic moment on the atom in μB.
Element x y z (fractional)
Bi (0.000, 0.000, 0.000)  -0.04
S (0.000, 0.500, 0.000)  0.02
N (0.500, 0.000, 0.000)  0.30
Sb (0.500, 0.500, 0.500)  -0.03
S (0.000, 0.000, 0.500)  0.02

---

Entry from the Alexandria database: a PBEsol-optimized structure of Ca2BeCo (meta-GGA SCAN).

Output
- energy relative to the elements (eV/atom) = 0.3171
- crystal system = orthorhombic

a b c (Å): 3.579 4.347 6.115
angles (deg): 110.85 107.02 90.00
Element x y z (fractional)
Ca (0.986, 0.986, 0.973)
Ca (0.755, 0.255, 0.511)
Be (0.177, 0.677, 0.354)
Co (0.581, 0.581, 0.162)

---

Entry from the Alexandria database: a PBEsol-optimized structure of RbMgGeH2 (meta-GGA SCAN).

Output
- uncorrected energy (eV per atom) = -9.827
- crystal system = tetragonal

a b c (Å): 4.557 4.557 5.007
angles (deg): 90.00 90.00 90.00
Element x y z (fractional)
Mg (0.000, 0.000, 0.500)
H (0.000, 0.500, 0.000)
Ge (0.000, 0.000, 0.000)
H (0.500, 0.000, 0.000)
Rb (0.500, 0.500, 0.500)

---

Entry from the Alexandria database: a PBEsol-optimized structure of Hg2IrPb (meta-GGA SCAN).

Output
- energy relative to the elements (eV/atom) = 0.6491
- crystal system = orthorhombic

a b c (Å): 3.287 5.158 5.158
angles (deg): 112.42 90.00 90.00
Element x y z (fractional)
Hg (0.000, 0.000, 0.500)
Ir (0.500, 0.000, 0.000)
Hg (0.000, 0.500, 0.000)
Pb (0.500, 0.500, 0.500)

---

Entry from the Alexandria database: a PBEsol-optimized structure of Zr2SbMo (meta-GGA SCAN).

Output
- crystal system = tetragonal
- raw formation energy (eV/atom) = -0.22

a b c (Å): 4.074 4.074 5.542
angles (deg): 111.57 111.57 90.00
Element x y z (fractional)
Sb (0.250, 0.750, 0.500)
Zr (0.000, 0.000, 0.000)
Zr (0.750, 0.250, 0.500)
Mo (0.500, 0.500, 0.000)

---

Entry from the Alexandria database: a PBEsol-optimized structure of CoIr2Os (meta-GGA SCAN).

Output
- energy relative to the elements (eV/atom) = 0.0502
- ΔE to the lowest computed polymorph (eV/atom) = 0.0340
- crystal system = trigonal

a b c (Å): 2.680 2.680 8.678
angles (deg): 81.12 81.12 60.00
Last column: magnetic moment on the atom in μB.
Element x y z (fractional)
Co (0.000, 0.000, 0.000)  1.88
Ir (0.747, 0.747, 0.758)  0.09
Os (0.500, 0.500, 0.500)  -0.05
Ir (0.253, 0.253, 0.242)  0.09